(1)
Crystalline Pm2MgZn4Cu3 at its relaxed geometry. Source: Alexandria, functional PBE.

Lattice parameters (Å, degrees): 4.037 4.037 11.489 90.00 90.00 90.00
Atoms (fractional coordinates):
Pm 0.000 0.500 0.235
Pm 0.500 0.000 0.765
Mg 0.000 0.000 0.500
Zn 0.000 0.000 0.000
Zn 0.000 0.500 0.650
Zn 0.500 0.000 0.350
Zn 0.500 0.500 0.000
Cu 0.000 0.500 0.865
Cu 0.500 0.000 0.135
Cu 0.500 0.500 0.500

Energy relative to the elements in meV per atom: -238
Space-group type: P-4m2

(2)
Crystalline AcMgP2O8 at its relaxed geometry. Source: Alexandria, functional PBE.

Lattice parameters (Å, degrees): 5.198 5.198 7.131 90.00 90.00 120.00
Atoms (fractional coordinates):
Ac 0.000 0.000 0.000
Mg 0.000 0.000 0.500
P 0.333 0.667 0.760
P 0.667 0.333 0.240
O 0.171 0.342 0.692
O 0.171 0.829 0.692
O 0.333 0.667 0.978
O 0.342 0.171 0.308
O 0.658 0.829 0.692
O 0.667 0.333 0.022
O 0.829 0.171 0.308
O 0.829 0.658 0.308

Uncorrected energy in eV/atom: -7.29
Space-group type: P-3m1

(3)
Crystalline NdBe2SiPd2 at its relaxed geometry. Source: Alexandria, functional PBE.

Lattice parameters (Å, degrees): 4.164 4.164 5.731 90.00 90.00 90.00
Atoms (fractional coordinates):
Nd 0.000 0.000 0.000
Be 0.000 0.500 0.500
Be 0.500 0.000 0.500
Si 0.000 0.000 0.500
Pd 0.500 0.500 0.253
Pd 0.500 0.500 0.747

Uncorrected energy in eV/atom: -4.90
Space-group type: P4/mmm